The following is a DFT calculation (PBE with a Hubbard U) of a geometry-optimized VRhN2O structure.

Lattice parameters (Å, degrees): 3.854 3.854 3.673 90.00 90.00 90.00
Sites, in units of the cell vectors:
V (0.000, 0.000, 0.000)
Rh (0.500, 0.500, 0.500)
N (0.000, 0.500, 0.000)
N (0.500, 0.000, 0.000)
O (0.000, 0.000, 0.500)

Summary:
- symmetry = No. 123
- final energy (eV/atom) = -6.690